Record 1
First-principles (PBE) data for crystalline Sc3BiH at its relaxed geometry, as listed in Alexandria via LeMat-Bulk.

a b c (Å): 5.554 5.554 5.554
angles (deg): 90.00 90.00 90.00
Fractional positions:
1 Sc 0.000 0.500 0.000
2 Sc 0.000 0.000 0.500
3 Sc 0.500 0.000 0.000
4 H 0.500 0.500 0.500
5 Bi 0.000 0.000 0.000

Results
DOS(E_F) (states/eV/atom): 1.108
Total energy (eV per formula unit): -21.3

---

Record 2
First-principles (PBE) data for crystalline Ti2Cu2Bi at its relaxed geometry, as listed in Alexandria via LeMat-Bulk.

a b c (Å): 7.392 7.392 3.283
angles (deg): 90.00 90.00 90.00
Fractional positions:
1 Bi 0.000 0.000 0.000
2 Bi 0.500 0.500 0.000
3 Cu 0.136 0.636 0.500
4 Cu 0.636 0.864 0.500
5 Cu 0.864 0.364 0.500
6 Cu 0.364 0.136 0.500
7 Ti 0.354 0.854 0.000
8 Ti 0.854 0.646 0.000
9 Ti 0.646 0.146 0.000
10 Ti 0.146 0.354 0.000

Results
DOS(E_F) (states/eV/atom): 0.839
ΔH_f (0 K) (eV/atom): 0.201

---

Record 3
First-principles (PBE) data for crystalline Ho3Mg2Cd2 at its relaxed geometry, as listed in Alexandria via LeMat-Bulk.

a b c (Å): 5.980 5.018 8.747
angles (deg): 106.63 114.10 114.81
Fractional positions:
1 Ho 0.000 0.000 0.000
2 Ho 0.482 0.091 0.699
3 Ho 0.518 0.909 0.301
4 Mg 0.791 0.488 0.184
5 Mg 0.209 0.512 0.816
6 Cd 0.186 0.309 0.430
7 Cd 0.814 0.691 0.570

Results
DOS(E_F) (states/eV/atom): 1.093
ΔH_f (0 K) (eV/atom): -0.135

---

Record 4
First-principles (PBE) data for crystalline Tb2CeCl at its relaxed geometry, as listed in Alexandria via LeMat-Bulk.

a b c (Å): 3.589 3.589 10.105
angles (deg): 79.77 79.77 60.00
Fractional positions:
1 Tb 0.740 0.740 0.779
2 Tb 0.260 0.260 0.221
3 Ce 0.500 0.500 0.500
4 Cl 0.000 0.000 0.000

Results
Formation energy without anion corrections (meV/atom): -636
DOS(E_F) (states/eV/atom): 1.378

---

Record 5
First-principles (PBE) data for crystalline Zn2Tc at its relaxed geometry, as listed in Alexandria via LeMat-Bulk.

a b c (Å): 4.915 4.915 7.876
angles (deg): 90.00 90.00 60.00
Fractional positions:
1 Zn 0.000 0.000 0.000
2 Zn 0.000 0.000 0.500
3 Zn 0.828 0.344 0.750
4 Zn 0.344 0.828 0.750
5 Zn 0.172 0.172 0.250
6 Zn 0.828 0.828 0.750
7 Zn 0.656 0.172 0.250
8 Zn 0.172 0.656 0.250
9 Tc 0.667 0.667 0.071
10 Tc 0.667 0.667 0.429
11 Tc 0.333 0.333 0.571
12 Tc 0.333 0.333 0.929

Results
DOS(E_F) (states/eV/atom): 0.711
ΔH_f (0 K) (eV/atom): 0.112

---

Record 6
First-principles (PBE) data for crystalline ErU2OsC4 at its relaxed geometry, as listed in Alexandria via LeMat-Bulk.

a b c (Å): 3.484 6.020 11.693
angles (deg): 90.00 90.00 106.82
Fractional positions:
1 Er 0.112 0.223 0.750
2 Er 0.888 0.777 0.250
3 U 0.370 0.739 0.546
4 U 0.630 0.261 0.046
5 U 0.630 0.261 0.454
6 U 0.370 0.739 0.954
7 Os 0.850 0.701 0.750
8 Os 0.150 0.299 0.250
9 C 0.263 0.526 0.120
10 C 0.737 0.474 0.620
11 C 0.737 0.474 0.880
12 C 0.263 0.526 0.380
13 C 0.000 0.000 0.500
14 C 0.000 0.000 0.000
15 C 0.450 0.900 0.750
16 C 0.550 0.100 0.250

Results
DOS(E_F) (states/eV/atom): 0.934
ΔH_f (0 K) (eV/atom): -0.036